DFT (PBE with a Hubbard U) results for a relaxed V2RePF crystal.

Lattice parameters (Å, degrees): 4.6222 4.6222 3.4930 90.00 90.00 90.00
Atoms (fractional coordinates):
V 0.0000 0.5000 0.0000
V 0.5000 0.0000 0.0000
Re 0.0000 0.0000 0.5000
P 0.5000 0.5000 0.0000
F 0.5000 0.5000 0.5000

Results
For the total magnetic moment, the calculation gives 0.0 μB/f.u. Its symmetry is No. 123. The calculation puts the electronic total energy at -29.45 eV for the cell shown.